Here is a relaxed AcScCu2Ge2 crystal from the Alexandria database. Energies are from PBE.

Values from the calculation:
The value obtained for the spin magnetization is 0.0 μB per formula unit. Its energy is -5.28 eV per atom. The calculation puts the energy relative to the elements at -0.64 eV/atom. As for the space group: P-3m1.

POSCAR file:
```
AcScCu2Ge2
1.0
-2.237 -3.206 -1.780
1.379 -0.336 4.054
-6.428 3.128 2.447
Ge Ac Cu Sc
2 1 2 1
Direct
0.333 0.667 0.289
0.667 0.333 0.711
0.000 0.000 0.000
0.333 0.667 0.675
0.667 0.333 0.325
0.000 0.000 0.500
```